(1)
VASP calculation (PBE) on a geometry-optimized TbSc4Hg5 structure.

Properties
SG: No. 123
Energy of formation from the pure elements, eV/atom: -0.434

POSCAR file:
```
TbSc4Hg5
1.0
3.5562 0.0000 0.0000
0.0000 3.5562 0.0000
0.0000 0.0000 17.9113
Tb Sc Hg
1 4 5
Cartesian
0.0000 0.0000 0.0000
0.0000 0.0000 3.7394
0.0000 0.0000 7.2196
0.0000 0.0000 10.6917
0.0000 0.0000 14.1719
1.7781 1.7781 2.0245
1.7781 1.7781 5.4750
1.7781 1.7781 8.9557
1.7781 1.7781 12.4363
1.7781 1.7781 15.8868
```

=====

(2)
VASP calculation (PBE) on a geometry-optimized TbScHg2 structure.

Properties
SG: No. 123
Energy of formation from the pure elements, eV/atom: -0.451
Polymorph energy (0 for the lowest one), meV per atom: 0

POSCAR file:
```
TbScHg2
1.0
3.5947 0.0000 0.0000
0.0000 3.5947 0.0000
0.0000 0.0000 7.3823
Tb Sc Hg
1 1 2
Cartesian
0.0000 0.0000 0.0000
0.0000 0.0000 3.6911
1.7974 1.7974 2.0101
1.7974 1.7974 5.3722
```

=====

(3)
VASP calculation (PBE) on a geometry-optimized TbScHg2 structure.

Properties
SG: No. 225
Energy of formation from the pure elements, eV/atom: -0.446
Polymorph energy (0 for the lowest one), meV per atom: 5

POSCAR file:
```
TbScHg2
1.0
0.0000 3.6342 3.6342
3.6342 0.0000 3.6342
3.6342 3.6342 0.0000
Tb Sc Hg
1 1 2
Cartesian
0.0000 0.0000 0.0000
3.6342 3.6342 3.6342
1.8171 1.8171 1.8171
5.4513 5.4513 5.4513
```

=====

(4)
VASP calculation (PBE) on a geometry-optimized Tb3ScHg structure.

Properties
SG: No. 12
Energy of formation from the pure elements, eV/atom: -0.085
Polymorph energy (0 for the lowest one), meV per atom: 15

POSCAR file:
```
Tb3ScHg
1.0
10.7659 -1.7503 0.0000
10.7659 1.7503 0.0000
-2.2398 0.0000 7.6340
Tb Sc Hg
6 2 2
Cartesian
-0.2228 0.0000 1.8192
2.7906 0.0000 3.4484
5.9720 0.0000 7.3097
13.3199 0.0000 0.3244
16.5013 0.0000 4.1856
19.5148 0.0000 5.8148
5.3171 0.0000 1.3321
13.9749 0.0000 6.3019
8.0990 0.0000 2.9503
11.1930 0.0000 4.6838
```

=====

(5)
VASP calculation (PBE) on a geometry-optimized TbScHg6 structure.

Properties
SG: No. 38
Energy of formation from the pure elements, eV/atom: -0.313
Polymorph energy (0 for the lowest one), meV per atom: 0

POSCAR file:
```
TbScHg6
1.0
4.9853 0.0000 0.0000
0.0000 3.2822 5.6831
0.0000 -3.2822 5.6831
Tb Sc Hg
1 1 6
Cartesian
0.0000 0.0000 0.0000
2.4927 0.0000 7.6013
0.0000 -1.6076 8.5100
0.0000 0.0000 5.7494
0.0000 1.6076 8.5100
2.4927 0.0000 1.9187
2.4927 -1.6140 4.7340
2.4927 1.6140 4.7340
```

=====

(6)
VASP calculation (PBE) on a geometry-optimized TbSc5Hg4 structure.

Properties
SG: No. 123
Energy of formation from the pure elements, eV/atom: -0.328

POSCAR file:
```
TbSc5Hg4
1.0
3.5023 0.0000 0.0000
0.0000 3.5023 0.0000
0.0000 0.0000 18.8794
Tb Sc Hg
1 5 4
Cartesian
0.0000 0.0000 0.0000
1.7511 1.7511 2.3370
1.7511 1.7511 5.9070
1.7511 1.7511 9.4397
1.7511 1.7511 12.9724
1.7511 1.7511 16.5424
0.0000 0.0000 4.0827
0.0000 0.0000 7.6588
0.0000 0.0000 11.2207
0.0000 0.0000 14.7967
```